Record 1
Compound: Tm2ZrTa
Source: Alexandria
Functional: PBE
Structure: relaxed

The structure belongs to space group R-3m (No. 166, hexagonal axes); the cell edges are 3.1833, 3.1833 and 33.6233 Å and the angles 90.00°, 90.00° and 120.00°. Symmetry generates all atoms from Tm at (0.0000, 0.0000, 0.0874), Zr at (0.0000, 0.0000, 0.5000) and Ta at (0.0000, 0.0000, 0.0000).

The value obtained for the energy is -81.7 eV/cell. For the volume, the calculation gives 24.6 A^3/atom. The calculated formation energy is 529 meV per atom.

***

Record 2
Compound: CeP2N2O9
Source: Alexandria
Functional: PBE
Structure: relaxed

The structure belongs to space group I4_1/amd (No. 141, origin choice 2); the cell edges are 6.7639, 6.7639 and 19.0485 Å and the angles 90.00°, 90.00° and 90.00°. Symmetry generates all atoms from Ce at (0.0000, 0.2500, 0.3750), P at (0.0000, 0.2500, 0.2061), N at (0.0000, 0.0000, 0.0000), O at (0.0000, 0.0678, 0.5920), O at (0.0000, 0.0718, 0.2583) and O at (0.0000, 0.2500, 0.8750).

The value obtained for the energy is -353.1 eV/cell. The uncorrected formation energy comes out at -16.9 kcal/mol of atoms. For the volume, the calculation gives 15.6 A^3/atom.

***

Record 3
Compound: TlTe2SeI
Source: Alexandria
Functional: PBE
Structure: relaxed

The structure belongs to space group P4/mmm (No. 123); the cell edges are 5.5891, 5.5891 and 5.8833 Å and the angles 90.00°, 90.00° and 90.00°. Symmetry generates all atoms from Tl at (0.0000, 0.0000, 0.0000), Te at (0.0000, 0.5000, 0.5000), Se at (0.5000, 0.5000, 0.5000) and I at (0.5000, 0.5000, 0.0000).

The value obtained for the energy is -13.1 eV/cell. The uncorrected formation energy comes out at 2.7 kcal/mol of atoms. The calculation puts the energy above the most stable polymorph in this dataset at 0 meV per atom. For the volume, the calculation gives 36.8 A^3/atom.

***

Record 4
Compound: K2TaSb
Source: Alexandria
Functional: PBE
Structure: relaxed

The structure belongs to space group R3m (No. 160, hexagonal axes); the cell edges are 3.4373, 3.4373 and 36.7984 Å and the angles 90.00°, 90.00° and 120.00°. Symmetry generates all atoms from K at (0.0000, 0.0000, 0.0000), K at (0.0000, 0.0000, 0.2216), Ta at (0.0000, 0.0000, 0.4700) and Sb at (0.0000, 0.0000, 0.7469).

The value obtained for the energy is -47.4 eV/cell. The uncorrected formation energy comes out at 13.7 kcal/mol of atoms. For the volume, the calculation gives 31.4 A^3/atom.

***

Record 5
Compound: TcSbAs2
Source: Alexandria
Functional: PBE
Structure: relaxed

The structure belongs to space group Immm (No. 71); the cell edges are 3.1078, 4.5497 and 11.3732 Å and the angles 90.00°, 90.00° and 90.00°. Symmetry generates all atoms from Tc at (0.0000, 0.0000, 0.0000), Sb at (0.0000, 0.0000, 0.5000) and As at (0.0000, 0.5000, 0.3119).

The value obtained for the energy is -45.5 eV/cell. The uncorrected formation energy comes out at 6.0 kcal/mol of atoms. For the volume, the calculation gives 20.1 A^3/atom.

***

Record 6
Compound: TmAl3Rh
Source: Alexandria
Functional: PBE
Structure: relaxed

The structure belongs to space group Imma (No. 74); the cell edges are 5.2528, 7.3792 and 9.4019 Å and the angles 90.00°, 90.00° and 90.00°. Symmetry generates all atoms from Tm at (0.0000, 0.2500, 0.0092), Al at (0.0000, 0.2500, 0.3275), Al at (0.2500, 0.0574, 0.7500) and Rh at (0.0000, 0.0000, 0.5000).

The value obtained for the energy is -102.9 eV/cell. The calculation puts the energy above the most stable polymorph in this dataset at 161 meV per atom. For the volume, the calculation gives 18.2 A^3/atom. The calculated formation energy is -533 meV per atom.